# Pm3Pr2Cd4

A relaxed Pm3Pr2Cd4 crystal (PBE, the Alexandria database).

a b c (Å): 10.109 10.109 8.386
angles (deg): 90.00 90.00 140.03
Element x y z (fractional)
Pm 0.000 0.000 0.000
Pm 0.002 0.498 0.250
Pm 0.498 0.002 0.750
Pm 0.500 0.500 0.500
Pm 0.502 0.998 0.250
Pm 0.998 0.502 0.750
Pr 0.091 0.909 0.403
Pr 0.409 0.591 0.903
Pr 0.591 0.409 0.097
Pr 0.909 0.091 0.597
Cd 0.161 0.839 0.011
Cd 0.173 0.327 0.250
Cd 0.327 0.173 0.750
Cd 0.339 0.661 0.511
Cd 0.661 0.339 0.489
Cd 0.673 0.827 0.250
Cd 0.827 0.673 0.750
Cd 0.839 0.161 0.989

Properties
Energy in Ry/atom: -0.2359
Formation energy from the elements in eV/atom: -0.157
Magnetic moment in μB per cell: 0.00